# Ba2Mg3NiF12 PBE with a Hubbard U optimized geometry
data_Ba2Mg3NiF12
_chemical_formula_sum 'Ba6 Mg9 Ni3 F36'
_cell_length_a 7.1639
_cell_length_b 7.1639
_cell_length_c 17.4778
_cell_angle_alpha 90.00
_cell_angle_beta 90.00
_cell_angle_gamma 120.00
_space_group_name_H-M_alt 'R -3 m'
_space_group_IT_number 166
_space_group_name_Hall '-R 3 2"'
loop_
_atom_site_label
_atom_site_fract_x
_atom_site_fract_y
_atom_site_fract_z
Ba1 0.0000 0.0000 0.1234
Mg1 0.0000 0.5000 0.0000
Ni1 0.0000 0.0000 0.5000
F1 0.0445 0.5222 0.1133
F2 0.0549 0.5274 0.3588
# Calculated volume, Å³ per atom: 14.39
# Energy, eV/atom: -5.183
# Mass density, Mg/m³: 4.1
# Spin magnetization, μB/f.u.: 1.99